a:
{
  "formula": "AgTeBr4",
  "functional": "PBE-GGA",
  "state": "relaxed",
  "vol_a3_per_atom": 34.3,
  "rho_g_cm3": 4.5,
  "space_group": "C2/c",
  "cell": [[-2.948, -6.022, -3.165], [-1.090, -5.630, 4.699], [-7.514, 2.808, 1.636]],
  "species": ["Ag", "Ag", "Te", "Te", "Br", "Br", "Br", "Br", "Br", "Br", "Br", "Br"],
  "frac_coords": [[0.000, 0.000, 0.750], [0.000, 0.000, 0.250], [0.000, 0.500, 0.500], [0.500, 0.000, 0.000], [0.751, 0.752, 0.251], [0.211, 0.729, 0.500], [0.789, 0.271, 0.500], [0.752, 0.751, 0.751], [0.248, 0.249, 0.249], [0.271, 0.789, 0.000], [0.729, 0.211, 0.000], [0.249, 0.248, 0.749]]
}



b:
{
  "formula": "AgTeBr4",
  "functional": "PBE-GGA",
  "state": "relaxed",
  "vol_a3_per_atom": 29.7,
  "rho_g_cm3": 5.2,
  "space_group": "F-43m",
  "cell": [[0.000, 4.468, 4.468], [4.468, 0.000, 4.468], [4.468, 4.468, 0.000]],
  "species": ["Ag", "Te", "Br", "Br", "Br", "Br"],
  "frac_coords": [[0.000, 0.000, 0.000], [0.750, 0.750, 0.750], [0.877, 0.374, 0.374], [0.374, 0.374, 0.877], [0.374, 0.877, 0.374], [0.374, 0.374, 0.374]]
}



Ranked by calculated energy, most stable first: a, b.



a:
{
  "formula": "AgTeBr5",
  "functional": "PBE-GGA",
  "state": "relaxed",
  "vol_a3_per_atom": 38.4,
  "rho_g_cm3": 3.9,
  "space_group": "C2/c",
  "cell": [[7.489, -1.314, 0.574], [1.130, 7.519, 0.574], [3.861, 2.780, 9.806]],
  "species": ["Ag", "Ag", "Te", "Te", "Br", "Br", "Br", "Br", "Br", "Br", "Br", "Br", "Br", "Br"],
  "frac_coords": [[0.348, 0.652, 0.250], [0.652, 0.348, 0.750], [0.000, 0.000, 0.000], [0.000, 0.000, 0.500], [0.741, 0.667, 0.162], [0.203, 0.711, 0.490], [0.667, 0.741, 0.662], [0.929, 0.071, 0.250], [0.289, 0.797, 0.010], [0.711, 0.203, 0.990], [0.071, 0.929, 0.750], [0.333, 0.259, 0.338], [0.797, 0.289, 0.510], [0.259, 0.333, 0.838]]
}



b:
{
  "formula": "AgTeBr5",
  "functional": "PBE-GGA",
  "state": "relaxed",
  "vol_a3_per_atom": 37.2,
  "rho_g_cm3": 4.1,
  "space_group": "C2/c",
  "cell": [[6.985, 0.827, -2.097], [-1.962, 6.900, -1.551], [-0.778, -0.720, 10.867]],
  "species": ["Ag", "Ag", "Te", "Te", "Br", "Br", "Br", "Br", "Br", "Br", "Br", "Br", "Br", "Br"],
  "frac_coords": [[0.691, 0.941, 0.250], [0.309, 0.059, 0.750], [0.000, 0.000, 0.000], [0.000, 0.500, 0.500], [0.275, 0.832, 0.151], [0.253, 0.799, 0.507], [0.318, 0.376, 0.651], [0.987, 0.237, 0.250], [0.292, 0.247, 0.993], [0.708, 0.753, 0.007], [0.013, 0.763, 0.750], [0.682, 0.624, 0.349], [0.747, 0.201, 0.493], [0.725, 0.168, 0.849]]
}



Ranked by calculated energy, most stable first: a, b.



a:
{
  "formula": "AgTe2Br8",
  "functional": "PBE-GGA",
  "state": "relaxed",
  "vol_a3_per_atom": 36.0,
  "rho_g_cm3": 4.2,
  "space_group": "P-1",
  "cell": [[5.927, 0.001, 0.001], [0.000, 7.599, -4.387], [0.002, 0.001, 8.781]],
  "species": ["Ag", "Te", "Te", "Br", "Br", "Br", "Br", "Br", "Br", "Br", "Br"],
  "frac_coords": [[0.000, 0.000, 0.000], [0.222, 0.334, 0.667], [0.778, 0.666, 0.333], [0.262, 0.666, 0.333], [0.738, 0.334, 0.667], [0.743, 0.840, 0.159], [0.257, 0.159, 0.319], [0.257, 0.682, 0.840], [0.257, 0.160, 0.841], [0.743, 0.841, 0.681], [0.743, 0.318, 0.160]]
}



b:
{
  "formula": "AgTe2Br8",
  "functional": "PBE-GGA",
  "state": "relaxed",
  "vol_a3_per_atom": 40.3,
  "rho_g_cm3": 3.8,
  "space_group": "C2/m",
  "cell": [[7.430, 0.774, 0.662], [1.639, 8.387, 1.820], [1.639, 3.098, 8.003]],
  "species": ["Ag", "Te", "Te", "Br", "Br", "Br", "Br", "Br", "Br", "Br", "Br"],
  "frac_coords": [[0.000, 0.000, 0.000], [0.419, 0.133, 0.133], [0.581, 0.867, 0.867], [0.774, 0.176, 0.738], [0.226, 0.262, 0.824], [0.664, 0.218, 0.218], [0.336, 0.782, 0.782], [0.774, 0.738, 0.176], [0.226, 0.824, 0.262], [0.141, 0.279, 0.279], [0.859, 0.721, 0.721]]
}



Ranked by calculated energy, most stable first: b, a.



a:
{
  "formula": "TlAg2TeBr",
  "functional": "PBE-GGA",
  "state": "relaxed",
  "vol_a3_per_atom": 31.4,
  "rho_g_cm3": 6.6,
  "space_group": "P2_1/m",
  "cell": [[-3.736, 2.694, -0.415], [-4.626, -6.266, 0.962], [1.374, 3.177, 8.261]],
  "species": ["Tl", "Tl", "Ag", "Ag", "Ag", "Ag", "Te", "Te", "Br", "Br"],
  "frac_coords": [[0.250, 0.925, 0.249], [0.750, 0.075, 0.751], [0.750, 0.514, 0.691], [0.250, 0.486, 0.309], [0.750, 0.444, 0.071], [0.250, 0.556, 0.929], [0.250, 0.227, 0.035], [0.750, 0.773, 0.965], [0.250, 0.317, 0.564], [0.750, 0.683, 0.436]]
}



b:
{
  "formula": "TlAg2TeBr",
  "functional": "PBE-GGA",
  "state": "relaxed",
  "vol_a3_per_atom": 34.3,
  "rho_g_cm3": 6.1,
  "space_group": "P4/mmm",
  "cell": [[5.237, 0.000, 0.000], [0.000, 6.255, 0.000], [0.000, 0.000, 5.237]],
  "species": ["Tl", "Te", "Br", "Ag", "Ag"],
  "frac_coords": [[0.500, 0.500, 0.500], [0.000, 0.500, 0.000], [0.000, 0.000, 0.000], [0.000, 0.000, 0.500], [0.500, 0.000, 0.000]]
}



Ranked by calculated energy, most stable first: a, b.